Computed, not measured: Ti2NbP after structural relaxation at the PBE level of DFT.

Cell lengths 5.102, 6.364, 7.752 Å; angles 90.00, 90.00, 90.00 degrees
Sites, in units of the cell vectors:
1 Ti 0.131 0.691 0.042
2 Ti 0.369 0.191 0.458
3 Ti 0.869 0.309 0.542
4 Ti 0.631 0.809 0.958
5 Ti 0.869 0.309 0.958
6 Ti 0.631 0.809 0.542
7 Ti 0.131 0.691 0.458
8 Ti 0.369 0.191 0.042
9 Nb 0.612 0.523 0.250
10 Nb 0.888 0.023 0.250
11 Nb 0.388 0.477 0.750
12 Nb 0.112 0.977 0.750
13 P 0.096 0.395 0.250
14 P 0.404 0.895 0.250
15 P 0.904 0.605 0.750
16 P 0.596 0.105 0.750

Calculated values
- space-group type = No. 62
- M_tot (μB per formula unit) = 0.00
- E_form (kJ per mole of atoms) = -77.4
- calculated total energy (eV per atom) = -8.6195

---

Computed, not measured: TiNb3P after structural relaxation at the PBE level of DFT.

Cell lengths 4.623, 4.623, 4.623 Å; angles 90.00, 90.00, 90.00 degrees
Sites, in units of the cell vectors:
1 P 0.000 0.000 0.000
2 Nb 0.000 0.500 0.000
3 Nb 0.000 0.000 0.500
4 Nb 0.500 0.000 0.000
5 Ti 0.500 0.500 0.500

Calculated values
- space-group type = No. 221
- M_tot (μB per formula unit) = 0.00
- E_form (kJ per mole of atoms) = 15.7
- calculated total energy (eV per atom) = -8.5396
- distance to the lowest polymorph of the same formula (meV per atom) = 0.0